DFT (GGA-PBE) results for PmTmTh2Se4 after structural relaxation.

N(E_F) (states/eV per cell): 5.398
Mass density (g/cm³): 8.94
Formation energy from raw total energies (meV/atom): -1629

Lattice parameters (Å, degrees): 7.0194 4.0906 7.4630 90.00 108.58 90.00
Closest atoms and distances in Å follow each position.
Space group P2/m (No. 10)
One atom of each set of equivalent atoms:
Pm: 0.0000 0.0000 0.0000 x1  6 Se 2.92
Tm: 0.5000 0.5000 0.0000 x1  6 Se 2.85
Th: 0.0000 0.5000 0.5000 x1  6 Se 3.03
Th: 0.5000 0.0000 0.5000 x1  6 Se 2.97
Se: 0.2543 0.5000 0.2390 x2  1 Tm 2.85, 2 Pm 2.92, 3 Th 2.97-3.03
Se: 0.2629 0.0000 0.7662 x2  2 Tm 2.85, 1 Pm 2.92, 3 Th 2.97-3.03